1.
Material: Ba2CoSeO6
Method: DFT, PBE+U
State: relaxed Values from VASP.

Summary:
total energy: -5.839 eV/atom
space group: P-1

Geometry as Quantum ESPRESSO input:
```
&SYSTEM
  ibrav = 0, nat = 10, ntyp = 4
/
ATOMIC_SPECIES
Ba 137.33 Ba.upf
Co 58.93 Co.upf
O 16.00 O.upf
Se 78.96 Se.upf
CELL_PARAMETERS angstrom
-1.3176 -0.6634 -5.4474
5.4134 0.1973 1.5864
-3.1622 -4.4983 1.3152
ATOMIC_POSITIONS angstrom
Ba 4.2934 -1.0888 0.5533
Ba -3.3598 -3.8756 -3.0990
Co 2.0479 -0.2331 -1.9305
O -1.6492 -1.6974 -3.7436
O 0.8887 -1.6240 -3.0749
O 1.5205 -1.2850 -0.1396
O -0.5870 -3.6794 -2.4061
O 0.0448 -3.3404 0.5292
O 2.5827 -3.2669 1.1979
Se 1.1256 -2.1505 1.4508
```

=====

2.
Material: BaCo2Si2O7
Method: DFT, PBE+U
State: relaxed Values from VASP.

Summary:
total energy: -7.106 eV/atom
space group: C2/c

Geometry as Quantum ESPRESSO input:
```
&SYSTEM
  ibrav = 0, nat = 48, ntyp = 4
/
ATOMIC_SPECIES
Ba 137.33 Ba.upf
Co 58.93 Co.upf
O 16.00 O.upf
Si 28.09 Si.upf
CELL_PARAMETERS angstrom
3.5737 -6.3538 0.0000
3.5737 6.3538 0.0000
-0.0788 0.0000 13.7746
ATOMIC_POSITIONS angstrom
Ba 1.3534 0.2909 1.6916
Ba 5.7546 0.2909 5.1957
Ba 1.3140 -0.2909 8.5789
Ba 5.7151 -0.2909 12.0830
Co 3.8141 3.4540 0.1774
Co 3.5540 -3.3701 3.4437
Co 3.5540 3.4777 3.4437
Co 3.2939 3.4540 6.7099
Co 3.7747 -3.4540 7.0647
Co 3.5146 -3.4777 10.3310
Co 3.5146 3.3701 10.3310
Co 3.2544 -3.4540 13.5972
O 5.3277 1.7087 0.1219
O 6.2882 -1.3641 0.8219
O 4.0992 -2.8796 1.5497
O 4.1251 -0.1861 1.6847
O 3.4921 2.3127 1.8447
O 5.9467 1.4465 2.7647
O 5.4901 -1.7629 3.4164
O 1.6179 -1.7629 3.4709
O 1.1612 1.4465 4.1226
O 3.6159 2.3127 5.0427
O 2.9829 -0.1861 5.2026
O 3.0087 -2.8796 5.3376
O 0.8198 -1.3641 6.0654
O 1.7803 1.7087 6.7653
O 5.2882 -1.7087 7.0093
O 6.2488 1.3641 7.7092
O 4.0598 2.8796 8.4370
O 4.0857 0.1861 8.5720
O 3.4526 -2.3127 8.7319
O 5.9073 -1.4465 9.6520
O 5.4506 1.7629 10.3038
O 1.5785 1.7629 10.3582
O 1.1218 -1.4465 11.0099
O 3.5765 -2.3127 11.9300
O 2.9434 0.1861 12.0899
O 2.9693 2.8796 12.2249
O 0.7803 1.3641 12.9527
O 1.7409 -1.7087 13.6527
Si 4.8085 1.3393 1.6237
Si 5.0395 -1.5724 1.8463
Si 2.0684 -1.5724 5.0410
Si 2.2994 1.3393 5.2636
Si 4.7691 -1.3393 8.5110
Si 5.0001 1.5724 8.7336
Si 2.0290 1.5724 11.9283
Si 2.2600 -1.3393 12.1509
```

=====

3.
Material: Ba2CoSi2O7
Method: DFT, PBE+U
State: relaxed Values from VASP.

Summary:
total energy: -7.204 eV/atom
space group: P-42_1m

Geometry as Quantum ESPRESSO input:
```
&SYSTEM
  ibrav = 0, nat = 24, ntyp = 4
/
ATOMIC_SPECIES
Ba 137.33 Ba.upf
Co 58.93 Co.upf
O 16.00 O.upf
Si 28.09 Si.upf
CELL_PARAMETERS angstrom
-2.5172 -1.7830 -7.6068
-7.2370 -2.4795 2.9760
-1.9327 5.0015 -0.5328
ATOMIC_POSITIONS angstrom
Ba -2.0533 -0.9625 -2.0640
Ba -7.7347 -3.2124 -2.5761
Ba -6.4439 2.6373 -5.8838
Ba -7.1417 3.0155 0.1967
Co -0.9663 2.5007 -0.2664
Co -5.8434 0.3695 -2.5818
O -3.0897 -0.2674 -4.5790
O -7.6062 -1.5581 -0.3114
O -2.2184 0.9730 -0.1809
O -4.4420 0.0013 -1.2366
O -6.5436 -1.0768 -3.7337
O -8.7673 -2.0485 -4.7893
O -4.3139 0.5599 1.2963
O -2.4958 2.3103 -4.1445
O -3.9058 1.7794 -6.2597
O -4.9818 1.6206 -3.8471
O -7.4062 0.9328 -1.5097
O -8.4821 0.7740 0.9028
O -4.4221 2.6404 -0.3908
O -8.2557 0.6631 -5.0460
Si -3.8562 1.1442 -0.2057
Si -7.6666 -0.8296 -4.9127
Si -3.6433 1.2375 -4.7268
Si -8.2075 -0.0741 -0.4820
```

=====

4.
Material: Ba2CoSi2O7
Method: DFT, PBE+U
State: relaxed Values from VASP.

Summary:
total energy: -7.204 eV/atom
space group: C2/c

Geometry as Quantum ESPRESSO input:
```
&SYSTEM
  ibrav = 0, nat = 24, ntyp = 4
/
ATOMIC_SPECIES
Ba 137.33 Ba.upf
Co 58.93 Co.upf
O 16.00 O.upf
Si 28.09 Si.upf
CELL_PARAMETERS angstrom
-4.0131 3.6139 4.1632
-4.4246 -3.1234 -4.1430
2.7718 -6.2792 4.9559
ATOMIC_POSITIONS angstrom
Ba -6.4344 0.5022 0.5056
Ba -0.5819 -2.5707 2.7083
Ba -5.0840 -3.2179 2.2678
Ba 0.7685 -6.2909 4.4704
Co -3.4264 0.3051 3.2582
Co -2.2395 -6.0938 1.7179
O -3.8140 0.9274 1.4381
O -4.9321 -3.0148 -2.3903
O -6.1714 -2.1456 -0.0916
O -3.5938 -2.4356 -0.1207
O -1.0079 -2.5921 0.0147
O -2.4228 -4.5977 -1.2307
O -3.1183 -1.6210 3.4708
O -2.5475 -4.1676 1.5053
O -3.2430 -1.1910 6.2067
O -4.6580 -3.1966 4.9613
O -2.0721 -3.3531 5.0967
O 0.5056 -3.6431 5.0676
O -0.7338 -2.7739 7.3663
O -1.8519 -6.7161 3.5379
Si -4.8910 -2.0270 -1.1135
Si -2.3398 -3.5531 -0.0020
Si -3.3261 -2.2355 4.9780
Si -0.7748 -3.7616 6.0895
```

=====

5.
Material: BaSmCo2O6
Method: DFT, PBE+U
State: relaxed Values from VASP.

Summary:
total energy: -6.487 eV/atom
space group: Pmmm

Geometry as Quantum ESPRESSO input:
```
&SYSTEM
  ibrav = 0, nat = 20, ntyp = 4
/
ATOMIC_SPECIES
Ba 137.33 Ba.upf
Co 58.93 Co.upf
O 16.00 O.upf
Sm 150.36 Sm.upf
CELL_PARAMETERS angstrom
-2.3731 1.8488 2.4553
0.1557 -6.0397 4.6982
6.0862 2.9846 3.6352
ATOMIC_POSITIONS angstrom
Ba -1.1476 -0.5891 2.4050
Ba -1.0699 -3.6018 4.7485
Co 1.6205 -2.2633 3.2705
Co 1.5427 0.7565 0.9214
Co 4.5435 2.2281 2.7137
Co 4.6213 -0.7918 5.0629
O 0.0000 0.0000 0.0000
O 0.0778 -3.0199 2.3491
O 1.7101 -0.6683 2.1560
O 1.7890 -3.7319 4.5392
O 0.5785 -1.2680 4.5845
O 0.5303 1.7663 2.2531
O 3.0431 1.4923 1.8176
O 3.1209 -1.5275 4.1667
O 3.1827 3.0670 3.8373
O 3.2902 0.0617 6.2041
O 4.4528 0.6767 3.7942
O 4.5318 -2.3868 6.1774
Sm 1.8951 0.9184 4.2107
Sm 1.9736 -2.1247 6.5780
```

=====

6.
Material: BaSrCo4O8
Method: DFT, PBE+U
State: relaxed Values from VASP.

Summary:
total energy: -5.970 eV/atom
space group: P-31m

Geometry as Quantum ESPRESSO input:
```
&SYSTEM
  ibrav = 0, nat = 14, ntyp = 4
/
ATOMIC_SPECIES
Ba 137.33 Ba.upf
Co 58.93 Co.upf
O 16.00 O.upf
Sr 87.62 Sr.upf
CELL_PARAMETERS angstrom
-2.8860 -4.1789 -1.8854
3.7328 -0.8007 3.8434
-5.5561 1.2819 5.6633
ATOMIC_POSITIONS angstrom
Ba 0.0000 0.0000 0.0000
Co -1.9432 -2.7613 1.3120
Co 0.2631 -1.6352 3.2216
Co -4.9723 -2.0624 4.3996
Co -2.7660 -0.9363 6.3093
O -0.6797 -3.0528 0.0242
O 1.5266 -1.9267 1.9338
O -2.6030 -1.0439 1.0148
O -0.3564 0.1028 2.9593
O -1.0640 -2.9148 2.9481
O -5.8391 -1.8531 2.7631
O -3.6452 -0.7829 4.6732
O -1.4669 0.3785 6.5474
Sr -2.7780 0.6410 2.8317
```

=====

7.
Material: BaCoTeO
Method: DFT, PBE+U
State: relaxed Values from VASP.

Summary:
total energy: -5.037 eV/atom
space group: Pbca

Geometry as Quantum ESPRESSO input:
```
&SYSTEM
  ibrav = 0, nat = 32, ntyp = 4
/
ATOMIC_SPECIES
Ba 137.33 Ba.upf
Co 58.93 Co.upf
O 16.00 O.upf
Te 127.60 Te.upf
CELL_PARAMETERS angstrom
-6.2339 4.2680 -1.0471
-3.9139 -4.3763 5.4635
4.0799 8.3091 9.5783
ATOMIC_POSITIONS angstrom
Ba -4.1502 4.4503 1.9317
Ba -6.2758 2.3777 4.6351
Ba -0.7661 2.8605 3.0825
Ba -2.8917 0.7878 5.7859
Ba -3.1762 7.4130 8.2088
Ba -5.3018 5.3403 10.9123
Ba 0.2079 5.8231 9.3597
Ba -1.9177 3.7505 12.0631
Co -3.7265 0.9811 2.2745
Co -3.4346 -2.7467 5.3840
Co -5.4811 5.8897 4.9493
Co -5.1892 2.1619 8.0588
Co -0.8787 6.0389 5.9359
Co -0.5868 2.3111 9.0454
Co -2.6333 10.9475 8.6108
Co -2.3414 7.2197 11.7203
O -3.4042 2.3218 3.5304
O -2.5983 -1.7579 6.7262
O -6.2849 4.9371 3.5617
O -5.4790 0.8574 6.7575
O -0.5889 7.3434 7.2372
O 0.2170 3.2637 10.4331
O -3.4695 9.9587 7.2685
O -2.6636 5.8790 10.4643
Te -1.9065 0.5977 0.4438
Te -3.9861 -1.5065 3.1550
Te -3.0497 6.7515 4.5541
Te -5.1293 4.6473 7.2652
Te -0.9386 3.5535 6.7295
Te -3.0182 1.4493 9.4406
Te -2.0818 9.7073 10.8398
Te -4.1614 7.6031 13.5509
```

=====

8.
Material: BaCoTeO
Method: DFT, PBE+U
State: relaxed Values from VASP.

Summary:
total energy: -4.750 eV/atom
space group: P4/nmm

Geometry as Quantum ESPRESSO input:
```
&SYSTEM
  ibrav = 0, nat = 8, ntyp = 4
/
ATOMIC_SPECIES
Ba 137.33 Ba.upf
Co 58.93 Co.upf
O 16.00 O.upf
Te 127.60 Te.upf
CELL_PARAMETERS angstrom
-3.5069 -2.3940 1.1300
2.1206 -1.4179 3.5775
-3.3967 7.2899 4.9027
ATOMIC_POSITIONS angstrom
Ba -1.8663 -1.0849 4.7237
Ba -2.9167 4.5630 4.8865
Co -1.8351 2.2417 3.3254
Co -2.9479 1.2364 6.2848
O -3.7984 1.4950 4.1932
O -0.9846 1.9831 5.4170
Te -0.8288 0.0821 1.8730
Te -3.9541 3.3960 7.7372
```